Record 1
Here is a relaxed TcTe2Se crystal from the Alexandria database. Energies are from PBE.

Cell and atoms, written as POSCAR:
```
TcTe2Se
1.0
3.1024 0.0000 0.0000
0.0000 3.1024 0.0000
0.0000 0.0000 10.3483
Tc Te Se
1 2 1
direct
0.5000 0.5000 0.7387 Tc
0.0000 0.0000 0.9161 Te
0.5000 0.5000 0.2487 Te
0.0000 0.0000 0.5965 Se
```

As for the total magnetic moment: 0.0 μB per cell. The raw formation energy comes out at 6 meV/atom. Its space group is No. 99.


Record 2
Here is a relaxed K3InI6O18 crystal from the Alexandria database. Energies are from PBE.

Cell and atoms, written as POSCAR:
```
K3InI6O18
1.0
7.0533 -0.0011 0.0223
-1.6475 7.0091 -0.0132
-3.4340 -2.3490 9.9133
I O K In
6 18 3 1
direct
0.1313 0.0582 0.3782 I
0.5565 0.0357 0.1941 I
0.2203 0.4621 0.8969 I
0.4435 0.9643 0.8059 I
0.7797 0.5379 0.1031 I
0.8687 0.9418 0.6218 I
0.1173 0.3186 0.0054 O
0.8827 0.6814 0.9946 O
0.9923 0.6488 0.2656 O
0.6116 0.3034 0.2354 O
0.8827 0.0740 0.4002 O
0.2911 0.3051 0.4704 O
0.5655 0.0338 0.6861 O
0.5845 0.6564 0.1241 O
0.4345 0.9662 0.3139 O
0.0077 0.3512 0.7344 O
0.3884 0.6966 0.7646 O
0.6893 0.0364 0.9612 O
0.9514 0.8831 0.7909 O
0.3107 0.9636 0.0388 O
0.0486 0.1169 0.2091 O
0.1173 0.9260 0.5998 O
0.7089 0.6949 0.5296 O
0.4155 0.3436 0.8759 O
0.0000 0.5000 0.5000 K
0.3728 0.5384 0.2937 K
0.6272 0.4616 0.7063 K
0.0000 0.0000 0.0000 In
```

As for the total magnetic moment: 0.0 μB per cell. The raw formation energy comes out at -790 meV/atom. Its space group is No. 2. The value obtained for the relative energy among the computed polymorphs is 0 meV/atom.


Record 3
Here is a relaxed Ti4Ir crystal from the Alexandria database. Energies are from PBE.

Cell and atoms, written as POSCAR:
```
Ti4Ir
1.0
-4.6124 1.8998 1.7987
0.8233 -5.1920 -0.6955
4.1625 1.1577 5.7797
Ti Ir
8 2
direct
0.8263 0.8265 0.1921 Ti
0.2807 0.7809 0.1008 Ti
0.6801 0.1799 0.8992 Ti
0.6344 0.6342 0.8079 Ti
0.8842 0.3844 0.3079 Ti
0.4299 0.4301 0.3992 Ti
0.0309 0.0307 0.6008 Ti
0.0765 0.5763 0.6921 Ti
0.4804 0.9804 0.5000 Ir
0.2304 0.2304 0.0000 Ir
```

As for the total magnetic moment: 1.2 μB per cell. Its space group is No. 70. Its formation energy is -329 meV/atom. The value obtained for the relative energy among the computed polymorphs is 0 meV/atom.


Record 4
Here is a relaxed ZrSnO crystal from the Alexandria database. Energies are from PBE.

Cell and atoms, written as POSCAR:
```
ZrSnO
1.0
3.2948 0.0000 0.0000
0.0000 6.6138 0.0000
0.0000 0.0000 10.8521
O Zr Sn
4 4 4
direct
0.7500 0.0458 0.7797 O
0.7500 0.4542 0.2797 O
0.2500 0.9542 0.2203 O
0.2500 0.5458 0.7203 O
0.7500 0.1417 0.2623 Zr
0.7500 0.3583 0.7623 Zr
0.2500 0.6417 0.2377 Zr
0.2500 0.8583 0.7377 Zr
0.7500 0.7015 0.9897 Sn
0.2500 0.2985 0.0103 Sn
0.7500 0.7985 0.4897 Sn
0.2500 0.2015 0.5103 Sn
```

As for the total magnetic moment: 0.0 μB per cell. The raw formation energy comes out at -1584 meV/atom. Its space group is No. 62.


Which of these has the highest total magnetic moment? Ti4Ir


Among the records above, which one has the highest total magnetic moment? Ti4Ir